VASP calculation (PBE-GGA) on a relaxed CeCdF6 crystal.

POSCAR file:
```
CeCdF6
1.0
3.774 0.000 0.000
0.000 6.925 0.000
0.000 0.000 9.208
Ce Cd F
2 2 12
direct
0.000 0.000 0.000 Ce
0.000 0.500 0.500 Ce
0.500 0.000 0.582 Cd
0.500 0.500 0.082 Cd
0.000 0.000 0.709 F
0.000 0.197 0.442 F
0.000 0.303 0.942 F
0.000 0.500 0.209 F
0.000 0.697 0.942 F
0.000 0.803 0.442 F
0.500 0.000 0.871 F
0.500 0.173 0.118 F
0.500 0.327 0.618 F
0.500 0.500 0.371 F
0.500 0.673 0.618 F
0.500 0.827 0.118 F
```

## Properties
Crystal system   orthorhombic
Formation energy (no corrections)   -3027 meV/atom
Space-group type   Amm2, No. 38
Raw total energy   -5.2866 eV per atom
N(E_F)   0.00 states/eV/f.u.